Ta3TiCu (PBE, relaxed); space-group type = Pm-3m, No. 221; energy above the lowest structure with this stoichiometry = 10.37 kcal/mol of atoms; total magnetic moment = 0.0 Bohr magnetons per cell; ΔH_f (0 K) = 1615 meV/atom
1.0
4.661 0.000 0.000
0.000 4.661 0.000
0.000 0.000 4.661
Ta Ti Cu
3 1 1
Direct
0.000 0.000 0.500
0.000 0.500 0.000
0.500 0.000 0.000
0.000 0.000 0.000
0.500 0.500 0.500